Material: Ti3MnCo2P6O24
Method: DFT, GGA-PBEsol
State: relaxed

```
36
Lattice="-4.766 -1.284 6.771 -7.213 -4.161 -0.938 -0.540 -7.777 3.073" Properties=species:S:1:pos:R:3 pbc="T T T"
Ti -4.489 -4.741 3.193
Ti -1.743 -1.840 1.240
Ti -8.018 -8.468 5.704
O -5.646 -6.168 2.423
O -1.925 -1.904 3.130
O -1.520 -3.714 1.013
O -5.602 -7.352 8.627
O -10.435 -5.628 4.394
O -6.368 -8.734 4.576
O -3.328 -3.658 4.206
O -9.379 -7.898 6.877
O -3.423 -7.187 6.668
O -6.099 -4.454 4.330
O -8.339 -7.047 4.310
O -9.129 -9.606 4.692
O -2.117 -7.630 4.505
O -6.272 -8.192 1.170
O -8.336 -3.664 4.990
O -5.147 -3.341 2.118
O -6.239 -2.667 6.079
O -7.369 -9.826 6.840
O -3.178 -5.309 1.966
O -6.862 -6.998 6.459
O -3.607 -1.831 0.875
O -4.143 -6.158 4.550
O -6.284 -10.593 2.858
O -6.956 -5.875 0.309
P -5.865 -6.755 0.996
P -5.619 -10.020 4.120
P -2.904 -6.605 5.382
P -9.623 -6.617 3.542
P -6.919 -3.208 4.782
P -6.652 -6.486 7.913
Co -6.245 -6.596 4.443
Co -0.009 -0.010 0.007
Mn -10.769 -11.373 7.661
```

Output
Magnetic moment   0.262 μB per atom

***

Material: MnV3Co2P6O24
Method: DFT, GGA-PBEsol
State: relaxed

```
36
Lattice="-6.262 -4.624 2.953 -1.186 -7.595 -3.197 1.822 -6.623 4.703" Properties=species:S:1:pos:R:3 pbc="T T T"
O -0.717 -6.429 0.327
O -2.989 -10.409 6.374
O -4.017 -7.907 5.297
O -2.593 -8.485 -1.889
O -0.471 -3.355 2.318
O -6.681 -10.606 0.881
O -3.170 -7.464 3.034
O -3.012 -8.099 0.551
O -3.237 -5.530 0.946
O -2.599 -10.712 3.896
O -4.656 -10.455 2.384
O -2.580 -3.149 0.525
O -2.343 -13.324 3.424
O -0.960 -8.352 2.074
O -5.304 -6.347 3.724
O -2.453 -11.343 1.414
O -1.303 -5.646 2.893
O 0.729 -10.127 1.903
O -0.113 -4.089 -0.335
O -4.412 -13.146 1.562
O -4.817 -9.106 -0.777
O -4.850 -12.389 4.211
O 1.003 -8.254 3.629
O -0.351 -12.542 0.687
V -2.022 -6.771 1.602
V -0.784 -2.625 0.621
V -3.600 -12.055 2.853
P -3.696 -8.099 -0.852
P 0.568 -8.654 2.182
P -6.188 -10.197 2.285
P -1.725 -12.019 0.215
P -3.913 -6.826 4.250
P -1.932 -10.753 5.303
Mn -4.844 -16.220 3.839
Co -2.805 -9.393 2.223
Co 0.000 -0.001 0.000
```

Output
Magnetic moment   0.355 μB per atom

***

Material: Mn2V3CoP6O24
Method: DFT, GGA-PBEsol
State: relaxed

```
36
Lattice="8.439 -0.039 -0.028 4.171 7.337 -0.028 4.171 2.414 6.929" Properties=species:S:1:pos:R:3 pbc="T T T"
O 10.783 3.171 1.295
O 8.634 5.958 0.070
O 11.568 7.625 3.420
O 7.346 8.215 2.560
O 6.238 6.842 0.351
O 9.005 6.902 3.824
O 6.077 6.466 5.596
O 7.087 4.876 1.645
O 10.535 2.942 6.589
O 4.377 4.346 2.265
O 8.122 3.805 6.896
O 10.759 7.159 6.053
O 5.949 2.678 0.784
O 12.375 5.298 4.739
O 9.468 1.568 4.237
O 9.041 0.996 1.769
O 6.282 4.564 4.051
O 9.604 4.867 5.237
O 11.485 5.551 0.584
O 10.471 5.060 2.849
O 5.368 4.110 6.336
O 5.286 2.011 3.345
O 7.800 8.764 5.041
O 7.758 2.787 2.957
P 9.594 4.147 6.616
P 8.376 8.319 3.696
P 5.412 5.180 5.198
P 11.386 4.522 1.711
P 8.440 1.391 3.156
P 7.187 5.604 0.263
Co 14.397 8.332 5.897
V 5.973 3.457 2.446
V 2.371 1.372 0.971
V 10.807 6.254 4.426
Mn 8.375 4.847 3.430
Mn 16.714 9.673 6.846
```

Output
Magnetic moment   0.459 μB per atom

***

Number 1: E_form (uncorrected) -2.2131 eV/atom, total DFT energy (no corrections) -8.0724 eV per atom. Number 2: E_form (uncorrected) -2.0108 eV/atom, total DFT energy (no corrections) -7.9794 eV per atom. Number 3: E_form (uncorrected) -2.0625 eV/atom, total DFT energy (no corrections) -8.0873 eV per atom.